Entry 1:
# Tl2CuBr

A relaxed structure of Tl2CuBr (PBEsol, Alexandria via LeMat-Bulk).

abc: 3.8036 3.8036 7.4647
angles: 90.00 90.00 90.00
Closest atoms and distances in Å follow each position.
Space group P4mm (No. 99)
Symmetry-distinct sites (fractional):
1 Tl 0.0000 0.0000 0.0000 (multiplicity 1)  4 Cu 2.69
2 Tl 0.5000 0.5000 0.3784 (multiplicity 1)  1 Cu 2.69
3 Cu 0.5000 0.5000 0.0176 (multiplicity 1)  5 Tl 2.69
4 Br 0.0000 0.0000 0.5906 (multiplicity 1)  5 Tl 3.06-3.12

Properties
The calculation puts the energy above the most stable polymorph in this dataset at 0.0 meV per atom. For the mass density, the calculation gives 8.49 g/cm3.

=====

Entry 2:
# Tl2CuBr

A relaxed structure of Tl2CuBr (PBEsol, Alexandria via LeMat-Bulk).

abc: 3.9336 5.7451 8.6300
angles: 90.00 90.00 90.00
Closest atoms and distances in Å follow each position.
Space group Cmm2 (No. 35)
Symmetry-distinct sites (fractional):
1 Tl 0.0000 0.0000 0.0000 (multiplicity 2)  6 Tl 3.26-3.48, 2 Br 3.35
2 Tl 0.0000 0.5000 0.3020 (multiplicity 2)  2 Cu 2.70
3 Cu 0.0000 0.0000 0.5161 (multiplicity 2)  2 Br 2.45, 2 Tl 2.70
4 Br 0.0000 0.5000 0.6859 (multiplicity 2)  2 Cu 2.45

Properties
The calculation puts the energy above the most stable polymorph in this dataset at 39.0 meV per atom. For the mass density, the calculation gives 9.40 g/cm3.

=====

Entry 3:
# Tl2CuBr

A relaxed structure of Tl2CuBr (PBEsol, Alexandria via LeMat-Bulk).

abc: 7.3860 7.3860 7.3860
angles: 90.00 90.00 90.00
Closest atoms and distances in Å follow each position.
Space group F-43m (No. 216)
Symmetry-distinct sites (fractional):
1 Tl 0.0000 0.0000 0.0000 (multiplicity 4)  4 Tl 3.20, 4 Br 3.20
2 Tl 0.2500 0.2500 0.2500 (multiplicity 4)  4 Cu 3.20, 4 Tl 3.20
3 Cu 0.0000 0.0000 0.5000 (multiplicity 4)  4 Br 3.20, 4 Tl 3.20
4 Br 0.2500 0.2500 0.7500 (multiplicity 4)  4 Tl 3.20, 4 Cu 3.20

Properties
The calculation puts the energy above the most stable polymorph in this dataset at 275.4 meV per atom. For the mass density, the calculation gives 9.10 g/cm3.

=====

Entry 4:
# CuWBr

A relaxed structure of CuWBr (PBEsol, Alexandria via LeMat-Bulk).

abc: 4.3455 4.3455 2.8640
angles: 90.00 90.00 120.00
Closest atoms and distances in Å follow each position.
Space group P-6m2 (No. 187)
Symmetry-distinct sites (fractional):
1 Cu 0.0000 0.0000 0.0000 (multiplicity 1)  2 Cu 2.86, 6 W 2.89, 6 Br 2.89
2 W 0.6667 0.3333 0.5000 (multiplicity 1)  3 Br 2.51
3 Br 0.3333 0.6667 0.5000 (multiplicity 1)  3 W 2.51

Properties
Its uncorrected energy is -17.050 eV for the cell shown. For the mass density, the calculation gives 11.60 g/cm3.

=====

Entry 5:
# CuW3Br

A relaxed structure of CuW3Br (PBEsol, Alexandria via LeMat-Bulk).

abc: 4.5190 4.5190 4.5190
angles: 90.00 90.00 90.00
Closest atoms and distances in Å follow each position.
Space group Pm-3m (No. 221)
Symmetry-distinct sites (fractional):
1 Cu 0.0000 0.0000 0.0000 (multiplicity 1)  12 W 3.20
2 W 0.0000 0.5000 0.5000 (multiplicity 3)  2 Br 2.26
3 Br 0.5000 0.5000 0.5000 (multiplicity 1)  6 W 2.26

Properties
Its uncorrected energy is -35.977 eV for the cell shown. For the mass density, the calculation gives 12.51 g/cm3.

=====

Entry 6:
# YCu2Br

A relaxed structure of YCu2Br (PBEsol, Alexandria via LeMat-Bulk).

abc: 4.0401 4.0401 19.1399
angles: 90.00 90.00 120.00
Closest atoms and distances in Å follow each position.
Space group R3m (No. 160, hexagonal axes)
Symmetry-distinct sites (fractional):
1 Y 0.0000 0.0000 0.0000 (multiplicity 3)  6 Cu 2.83-2.92, 3 Br 2.95
2 Cu 0.0000 0.0000 0.2497 (multiplicity 3)  3 Cu 2.34
3 Cu 0.0000 0.0000 0.5746 (multiplicity 3)  3 Cu 2.34
4 Br 0.0000 0.0000 0.7610 (multiplicity 3)  3 Y 2.95

Properties
The calculation puts the energy above the most stable polymorph in this dataset at 0.0 meV per atom. For the mass density, the calculation gives 5.45 g/cm3.